(1)
The following is a GGA-PBE calculation of an optimized crystal structure of Li3Pr2ZrSe6, from the Alexandria database.

Lattice parameters (Å, degrees): 7.0788 7.0788 6.9540 99.76 99.76 120.01
Fractional coordinates of all 12 atoms:
1 Li 0.1609 0.8391 0.5000
2 Li 0.8391 0.1609 0.5000
3 Li 0.5000 0.5000 0.5000
4 Pr 0.3324 0.6676 0.0000
5 Pr 0.6676 0.3324 0.0000
6 Zr 0.0000 0.0000 0.0000
7 Se 0.9125 0.6024 0.7393
8 Se 0.7737 0.7737 0.2549
9 Se 0.0875 0.3976 0.2607
10 Se 0.6024 0.9125 0.7393
11 Se 0.2263 0.2263 0.7451
12 Se 0.3976 0.0875 0.2607

## Properties
N(E_F) (states/eV/cell): 4.1
E (eV/atom): -5.246
Volume (A^3/atom): 23.7
Space-group type: C2/m



(2)
The following is a GGA-PBE calculation of an optimized crystal structure of CePm3Os2, from the Alexandria database.

Lattice parameters (Å, degrees): 4.3492 8.4229 10.6418 68.48 78.21 75.04
Fractional coordinates of all 12 atoms:
1 Ce 0.4337 0.4638 0.6688
2 Ce 0.5663 0.5362 0.3312
3 Pm 0.0572 0.1026 0.7830
4 Pm 0.9428 0.8974 0.2170
5 Pm 0.6683 0.6896 0.9739
6 Pm 0.3317 0.3104 0.0261
7 Pm 0.7910 0.8235 0.5945
8 Pm 0.2090 0.1765 0.4055
9 Os 0.8654 0.4406 0.8287
10 Os 0.1346 0.5594 0.1713
11 Os 0.6115 0.1929 0.5840
12 Os 0.3885 0.8071 0.4160

## Properties
Energy of formation from the pure elements (eV/atom): -0.09
N(E_F) (states/eV/cell): 9.3
E (eV/atom): -7.202
Volume (A^3/atom): 29.0
Space-group type: C2/m



(3)
The following is a GGA-PBE calculation of an optimized crystal structure of OsAuIO2, from the Alexandria database.

Lattice parameters (Å, degrees): 3.7991 3.7991 8.8113 90.00 90.00 90.00
Fractional coordinates of all 5 atoms:
1 I 0.0000 0.0000 0.5000
2 Os 0.0000 0.0000 0.0000
3 Au 0.5000 0.5000 0.5000
4 O 0.0000 0.5000 0.0000
5 O 0.5000 0.0000 0.0000

## Properties
N(E_F) (states/eV/cell): 1.7
E (eV/atom): -5.452
Energy relative to the lowest polymorph listed for this composition (meV per atom): 0
Volume (A^3/atom): 25.4
Space-group type: P4/mmm



(4)
The following is a GGA-PBE calculation of an optimized crystal structure of KNiTe, from the Alexandria database.

Lattice parameters (Å, degrees): 4.4410 4.4410 8.0988 90.00 90.00 90.00
Fractional coordinates of all 6 atoms:
1 Ni 0.0000 0.0000 0.5000
2 Ni 0.5000 0.5000 0.5000
3 K 0.0000 0.5000 0.8320
4 K 0.5000 0.0000 0.1680
5 Te 0.0000 0.5000 0.3344
6 Te 0.5000 0.0000 0.6656

## Properties
N(E_F) (states/eV/cell): 7.4
E (eV/atom): -3.732
Volume (A^3/atom): 26.6
Space-group type: P4/nmm



(5)
The following is a GGA-PBE calculation of an optimized crystal structure of YSbTe2W, from the Alexandria database.

Lattice parameters (Å, degrees): 5.3701 5.3701 5.2377 90.00 90.00 90.00
Site moments in Bohr magnetons follow the coordinates.
Fractional coordinates of all 5 atoms:
1 Y 0.5000 0.5000 0.5000  0.12
2 Sb 0.0000 0.0000 0.5000  -0.02
3 Te 0.0000 0.5000 0.0000  0.00
4 Te 0.5000 0.0000 0.0000  0.00
5 W 0.0000 0.0000 0.0000  0.55

## Properties
N(E_F) (states/eV/cell): 5.7
E (eV/atom): -5.599
Energy relative to the lowest polymorph listed for this composition (meV per atom): 0
Volume (A^3/atom): 30.2
Space-group type: P4/mmm



(6)
The following is a GGA-PBE calculation of an optimized crystal structure of Be2TlSi2, from the Alexandria database.

Lattice parameters (Å, degrees): 4.0260 4.0260 5.7192 69.39 69.39 90.00
Fractional coordinates of all 5 atoms:
1 Be 0.7500 0.2500 0.5000
2 Be 0.2500 0.7500 0.5000
3 Tl 0.0000 0.0000 0.0000
4 Si 0.3767 0.3767 0.2465
5 Si 0.6233 0.6233 0.7535

## Properties
N(E_F) (states/eV/cell): 1.5
E (eV/atom): -3.761
Volume (A^3/atom): 16.1
Space-group type: I4/mmm



(7)
The following is a GGA-PBE calculation of an optimized crystal structure of YZr3, from the Alexandria database.

Lattice parameters (Å, degrees): 4.6355 4.6355 4.6355 90.00 90.00 90.00
Fractional coordinates of all 4 atoms:
1 Y 0.0000 0.0000 0.0000
2 Zr 0.0000 0.5000 0.5000
3 Zr 0.5000 0.0000 0.5000
4 Zr 0.5000 0.5000 0.0000

## Properties
Energy of formation from the pure elements (eV/atom): 0.12
N(E_F) (states/eV/cell): 6.4
E (eV/atom): -7.906
Energy relative to the lowest polymorph listed for this composition (meV per atom): 69
Volume (A^3/atom): 24.9
Space-group type: Pm-3m



(8)
The following is a GGA-PBE calculation of an optimized crystal structure of MgInW2, from the Alexandria database.

Lattice parameters (Å, degrees): 4.6368 4.6368 4.6368 60.00 60.00 60.00
Fractional coordinates of all 4 atoms:
1 Mg 0.0000 0.0000 0.0000
2 W 0.2500 0.2500 0.2500
3 W 0.7500 0.7500 0.7500
4 In 0.5000 0.5000 0.5000

## Properties
Energy of formation from the pure elements (eV/atom): 1.00
N(E_F) (states/eV/cell): 5.5
E (eV/atom): -6.563
Energy relative to the lowest polymorph listed for this composition (meV per atom): 697
Volume (A^3/atom): 17.6
Space-group type: Fm-3m



Values for size of the total moment, Bohr magnetons per cell, ordered as above
0.0 0.0 0.0 0.0 0.9 0.0 0.0 0.0